(1)
# BaCr2W

A relaxed structure of BaCr2W (PBE, Alexandria).

Calculated values
Formation energy (meV per atom): 1427
V (Å³ per cell): 82.1
Density (g/cm3): 8.60
ΔE to the lowest computed polymorph (meV/atom): 626.4
Total DFT energy (no corrections) (eV per cell): -28.4
DOS at the Fermi energy (states/eV/f.u.): 4.2
Total moment (μB per cell): 6.4

CIF file:
```
data_BaCr2W
_chemical_formula_sum 'Ba1 Cr2 W1'
_cell_length_a 5.2098
_cell_length_b 5.2098
_cell_length_c 3.0248
_cell_angle_alpha 90.00
_cell_angle_beta 90.00
_cell_angle_gamma 90.00
_space_group_name_H-M_alt 'P 4/m m m'
_space_group_IT_number 123
_space_group_name_Hall '-P 4 2'
loop_
_atom_site_label
_atom_site_type_symbol
_atom_site_fract_x
_atom_site_fract_y
_atom_site_fract_z
Ba1 Ba 0.0000 0.0000 0.0000
Cr1 Cr 0.0000 0.5000 0.5000
W1 W 0.5000 0.5000 0.0000
```


(2)
# BaCr2W

A relaxed structure of BaCr2W (PBE, Alexandria).

Calculated values
Formation energy (meV per atom): 996
V (Å³ per cell): 179.9
Density (g/cm3): 7.85
ΔE to the lowest computed polymorph (meV/atom): 195.3
Total DFT energy (no corrections) (eV per cell): -60.3
DOS at the Fermi energy (states/eV/f.u.): 5.1
Total moment (μB per cell): 0.0

CIF file:
```
data_BaCr2W
_chemical_formula_sum 'Ba2 Cr4 W2'
_cell_length_a 3.1174
_cell_length_b 4.2879
_cell_length_c 13.4564
_cell_angle_alpha 90.00
_cell_angle_beta 90.00
_cell_angle_gamma 90.00
_space_group_name_H-M_alt 'I m m 2'
_space_group_IT_number 44
loop_
_space_group_symop_operation_xyz
'x,y,z'
'-x,-y,z'
'-x,y,z'
'x,-y,z'
'x+1/2,y+1/2,z+1/2'
'-x+1/2,-y+1/2,z+1/2'
'-x+1/2,y+1/2,z+1/2'
'x+1/2,-y+1/2,z+1/2'
loop_
_atom_site_label
_atom_site_type_symbol
_atom_site_fract_x
_atom_site_fract_y
_atom_site_fract_z
Ba1 Ba 0.0000 0.0000 0.0000
Cr1 Cr 0.0000 0.0000 0.3372
Cr2 Cr 0.0000 0.5000 0.7256
W1 W 0.0000 0.5000 0.2373
```


Q: The highest DOS at the Fermi energy belongs to which entry?
A: number 2


Q: Among the records above, which one has the highest V?
A: number 2